# LiPmSmOs PBE-GGA optimized geometry
# calculated formation energy	-122.1	meV/atom
# calculated total energy	-0.21224	Ha/atom
# crystal system	cubic
data_LiPmSmOs
_chemical_formula_sum 'Li4 Pm4 Sm4 Os4'
_space_group_name_H-M_alt 'F -4 3 m'
_space_group_IT_number 216
_space_group_name_Hall 'F -4 2 3'
_cell_length_a 7.0857
_cell_length_b 7.0857
_cell_length_c 7.0857
_cell_angle_alpha 90.00
_cell_angle_beta 90.00
_cell_angle_gamma 90.00
loop_
_atom_site_label
_atom_site_type_symbol
_atom_site_fract_x
_atom_site_fract_y
_atom_site_fract_z
Li1 Li 0.0000 0.0000 0.0000
Pm1 Pm 0.2500 0.2500 0.7500
Sm1 Sm 0.2500 0.2500 0.2500
Os1 Os 0.0000 0.0000 0.5000